<A>
Here is crystalline Cr2CuRe at its relaxed geometry from Alexandria via LeMat-Bulk. Energies are from PBE-GGA.

Output
Fermi-level density of states	0.99	states/eV/atom

Cell and atoms, written as POSCAR:
```
Cr2CuRe
1.0
2.6550 0.0000 0.0000
0.0000 3.7093 0.0000
0.0000 0.0000 5.1820
Cr Cu Re
2 1 1
Cartesian
0.0000 0.0000 0.0000
1.3275 1.8547 1.2062
0.0000 0.0000 2.5238
1.3275 1.8547 3.9202
```

***

<B>
Here is crystalline Cr2CuRe at its relaxed geometry from Alexandria via LeMat-Bulk. Energies are from PBE-GGA.

Output
Fermi-level density of states	1.08	states/eV/atom

Cell and atoms, written as POSCAR:
```
Cr2CuRe
1.0
3.0298 0.0000 0.0000
0.0000 4.1241 0.0000
0.0000 0.0000 8.2690
Cr Cu Re
4 2 2
Cartesian
0.0000 0.0000 2.0442
0.0000 0.0000 6.2248
1.5149 2.0620 2.0442
1.5149 2.0620 6.2248
0.0000 2.0620 0.0000
1.5149 0.0000 0.0000
0.0000 2.0620 4.1345
1.5149 0.0000 4.1345
```

***

<C>
Here is crystalline Cr2CuRe at its relaxed geometry from Alexandria via LeMat-Bulk. Energies are from PBE-GGA.

Output
Fermi-level density of states	0.89	states/eV/atom

Cell and atoms, written as POSCAR:
```
Cr2CuRe
1.0
3.7539 0.0000 0.0000
0.0000 3.7539 0.0000
0.0000 0.0000 7.1659
Cr Cu Re
4 2 2
Cartesian
0.0000 1.8769 1.7915
0.0000 1.8769 5.3744
1.8769 0.0000 1.7915
1.8769 0.0000 5.3744
0.0000 0.0000 0.0000
1.8769 1.8769 3.5829
0.0000 0.0000 3.5829
1.8769 1.8769 0.0000
```

***

<D>
Here is crystalline Cr2CuRe at its relaxed geometry from Alexandria via LeMat-Bulk. Energies are from PBE-GGA.

Output
Fermi-level density of states	0.93	states/eV/atom

Cell and atoms, written as POSCAR:
```
Cr2CuRe
1.0
2.9556 0.0000 0.0000
0.0000 2.9556 0.0000
0.0000 0.0000 5.8768
Cr Cu Re
2 1 1
Cartesian
0.0000 0.0000 0.0000
1.4778 1.4778 1.3231
0.0000 0.0000 2.7626
1.4778 1.4778 4.4090
```

***

If you had to bet on the most stable structure above, which would it be? Bet on <C>.